Density functional theory data (PBE) for an optimized crystal structure of Th3UN4.

The structure in POSCAR format:
```
Th3UN4
1.0
6.243 0.054 0.000
-2.138 5.878 0.000
0.000 0.000 7.182
N Th U
8 6 2
Direct
0.984 0.233 0.640
0.016 0.767 0.360
0.516 0.767 0.640
0.500 0.228 0.886
0.484 0.233 0.360
0.000 0.228 0.114
0.500 0.772 0.114
0.000 0.772 0.886
0.250 0.500 0.373
0.750 0.500 0.627
0.750 0.500 0.124
0.250 0.000 0.626
0.250 0.500 0.876
0.750 0.000 0.374
0.250 0.000 0.124
0.750 0.000 0.876
```

Properties
E_form (uncorrected) ... -1484 meV per atom
SG ... P2/c, No. 13

---

Density functional theory data (PBE) for an optimized crystal structure of NaSbN3.

The structure in POSCAR format:
```
NaSbN3
1.0
4.165 0.000 0.000
0.000 4.165 0.000
0.000 0.000 4.165
Sb N Na
1 3 1
Direct
0.500 0.500 0.500
0.500 0.000 0.000
0.000 0.500 0.000
0.000 0.000 0.500
0.000 0.000 0.000
```

Properties
E_form (uncorrected) ... 2381 meV per atom
SG ... Pm-3m, No. 221

---

Density functional theory data (PBE) for an optimized crystal structure of Zr3Zn8Cu3.

The structure in POSCAR format:
```
Zr3Zn8Cu3
1.0
-4.061 -0.158 -1.254
-4.175 -0.843 6.415
-3.175 6.652 2.229
Cu Zn Zr
3 8 3
Direct
0.000 0.843 0.157
0.500 0.000 0.000
0.000 0.157 0.843
0.148 0.213 0.492
0.363 0.350 0.925
0.852 0.787 0.508
0.852 0.508 0.787
0.637 0.650 0.075
0.148 0.492 0.213
0.637 0.075 0.650
0.363 0.925 0.350
0.212 0.788 0.788
0.788 0.212 0.212
0.500 0.500 0.500
```

Properties
SG ... Immm, No. 71
Formation energy from the elements ... -0.196 eV/atom

---

Density functional theory data (PBE) for an optimized crystal structure of La2SmZn5.

The structure in POSCAR format:
```
La2SmZn5
1.0
4.948 0.000 0.000
0.000 4.948 0.000
-2.474 -2.474 7.445
Zn La Sm
5 2 1
Direct
0.891 0.391 0.783
0.500 0.500 0.000
0.109 0.609 0.217
0.609 0.109 0.217
0.391 0.891 0.783
0.730 0.730 0.460
0.270 0.270 0.540
0.000 0.000 0.000
```

Properties
SG ... I4/mmm, No. 139
Formation energy from the elements ... -0.281 eV/atom

---

Density functional theory data (PBE) for an optimized crystal structure of Hg2PtCl.

The structure in POSCAR format:
```
Hg2PtCl
1.0
8.327 -0.002 -0.001
7.551 3.510 -0.001
7.551 1.668 3.088
Hg Cl Pt
2 1 1
Direct
0.239 0.239 0.239
0.999 0.999 0.999
0.764 0.764 0.764
0.498 0.498 0.498
```

Properties
E_form (uncorrected) ... 161 meV per atom
SG ... R3m, No. 160

---

Density functional theory data (PBE) for an optimized crystal structure of NaMg2Tl2Pb2.

The structure in POSCAR format:
```
NaMg2Tl2Pb2
1.0
3.460 0.000 0.000
-1.730 5.442 -1.016
0.000 -1.805 10.839
Mg Pb Tl Na
2 2 2 1
Direct
0.329 0.657 0.912
0.671 0.343 0.088
0.442 0.884 0.205
0.558 0.116 0.795
0.776 0.552 0.641
0.224 0.448 0.359
0.000 0.000 0.500
```

Properties
SG ... C2/m, No. 12
Formation energy from the elements ... -0.044 eV/atom

---

Density functional theory data (PBE) for an optimized crystal structure of Sm2Dy6YHo.

The structure in POSCAR format:
```
Sm2Dy6YHo
1.0
-9.277 2.308 -1.167
-1.719 -7.911 3.425
1.646 6.660 5.496
Dy Sm Ho Y
12 4 2 2
Direct
0.620 0.499 0.710
0.556 0.748 0.126
0.187 0.573 0.021
0.880 0.290 0.501
0.380 0.501 0.290
0.120 0.710 0.499
0.944 0.874 0.252
0.444 0.252 0.874
0.813 0.427 0.979
0.056 0.126 0.748
0.687 0.021 0.573
0.313 0.979 0.427
0.457 0.805 0.698
0.543 0.195 0.302
0.957 0.698 0.805
0.043 0.302 0.195
0.250 0.408 0.592
0.750 0.592 0.408
0.750 0.020 0.980
0.250 0.980 0.020
```

Properties
SG ... C2/c, No. 15
Formation energy from the elements ... 0.115 eV/atom

---

Density functional theory data (PBE) for an optimized crystal structure of La2Sm5Dy4.

The structure in POSCAR format:
```
La2Sm5Dy4
1.0
3.499 0.000 -0.661
-0.248 11.686 -1.311
-0.096 0.359 9.085
Dy Sm La
4 5 2
Direct
0.361 0.201 0.721
0.639 0.799 0.279
0.969 0.743 0.937
0.031 0.257 0.063
0.176 0.068 0.352
0.094 0.537 0.189
0.824 0.932 0.648
0.500 0.000 0.000
0.906 0.463 0.811
0.718 0.354 0.435
0.282 0.646 0.565
```

Properties
SG ... C2/m, No. 12
Formation energy from the elements ... 0.066 eV/atom

---

Density functional theory data (PBE) for an optimized crystal structure of RbCdSe2.

The structure in POSCAR format:
```
RbCdSe2
1.0
-7.465 0.679 -3.087
0.150 -7.832 -2.085
-5.230 -4.561 1.000
Se Cd Rb
4 2 2
Direct
0.707 0.125 0.250
0.875 0.957 0.750
0.375 0.293 0.750
0.043 0.625 0.250
0.000 0.000 0.000
0.750 0.250 0.500
0.250 0.750 0.500
0.500 0.500 0.000
```

Properties
E_form (uncorrected) ... -599 meV per atom
SG ... I-42d, No. 122

---

Density functional theory data (PBE) for an optimized crystal structure of ErCuP2.

The structure in POSCAR format:
```
ErCuP2
1.0
-0.477 3.615 -0.637
-1.646 -0.790 -3.253
-17.181 -0.706 8.866
P Er Cu
8 4 4
Direct
0.250 0.722 0.171
0.750 0.699 0.001
0.250 0.301 0.999
0.250 0.778 0.671
0.750 0.801 0.501
0.250 0.199 0.499
0.750 0.222 0.329
0.750 0.278 0.829
0.250 0.722 0.383
0.750 0.222 0.117
0.250 0.778 0.883
0.750 0.278 0.617
0.250 0.221 0.250
0.250 0.279 0.750
0.750 0.779 0.750
0.750 0.721 0.250
```

Properties
SG ... Pnma, No. 62
Formation energy from the elements ... -0.875 eV/atom

---

Density functional theory data (PBE) for an optimized crystal structure of Ce3ThZr2P6.

The structure in POSCAR format:
```
Ce3ThZr2P6
1.0
6.893 -0.003 -0.003
-3.447 5.969 -0.003
-1.152 -1.994 6.491
P Zr Ce Th
6 2 3 1
Direct
0.080 0.427 0.240
0.573 0.920 0.760
0.920 0.573 0.760
0.269 0.269 0.765
0.731 0.731 0.235
0.427 0.080 0.240
0.668 0.332 0.000
0.332 0.668 0.000
0.163 0.837 0.500
0.837 0.163 0.500
0.500 0.500 0.500
0.000 0.000 0.000
```

Properties
SG ... C2/m, No. 12
Formation energy from the elements ... -1.468 eV/atom

---

Density functional theory data (PBE) for an optimized crystal structure of VRh2S4.

The structure in POSCAR format:
```
VRh2S4
1.0
4.682 0.000 0.000
0.000 4.682 0.000
2.341 2.341 5.714
S Rh V
4 2 1
Direct
0.000 0.500 0.000
0.196 0.196 0.608
0.804 0.804 0.392
0.500 0.000 0.000
0.388 0.388 0.224
0.612 0.612 0.776
0.000 0.000 0.000
```

Properties
E_form (uncorrected) ... 68 meV per atom
SG ... I4/mmm, No. 139

---

Density functional theory data (PBE) for an optimized crystal structure of LiLaMn2.

The structure in POSCAR format:
```
LiLaMn2
1.0
-4.155 2.271 -1.507
-2.066 0.157 4.516
4.349 1.907 -1.462
Mn Li La
2 1 1
Direct
0.198 0.698 0.500
0.034 0.034 0.000
0.780 0.280 0.500
0.489 0.489 0.000
```

Properties
SG ... Imm2, No. 44
Formation energy from the elements ... 0.370 eV/atom

---

Density functional theory data (PBE) for an optimized crystal structure of Ca3Tl2Ag4Hg2.

The structure in POSCAR format:
```
Ca3Tl2Ag4Hg2
1.0
4.953 0.000 0.000
-2.476 4.289 0.000
0.000 0.000 13.324
Ca Hg Ag Tl
3 2 4 2
Direct
0.000 0.000 0.729
0.000 0.000 0.000
0.000 0.000 0.271
0.667 0.333 0.864
0.333 0.667 0.136
0.333 0.667 0.365
0.333 0.667 0.868
0.667 0.333 0.132
0.667 0.333 0.635
0.667 0.333 0.418
0.333 0.667 0.582
```

Properties
SG ... P-3m1, No. 164
Formation energy from the elements ... -0.237 eV/atom

---

Density functional theory data (PBE) for an optimized crystal structure of Sm8Dy6Pb.

The structure in POSCAR format:
```
Sm8Dy6Pb
1.0
6.545 0.000 0.000
0.000 8.082 -4.666
0.000 0.000 9.332
Sm Dy Pb
8 6 1
Direct
0.854 0.333 0.667
0.178 0.960 0.729
0.822 0.040 0.271
0.146 0.667 0.333
0.178 0.271 0.232
0.178 0.768 0.040
0.822 0.232 0.960
0.822 0.729 0.768
0.667 0.904 0.552
0.333 0.552 0.648
0.333 0.352 0.904
0.667 0.448 0.352
0.667 0.648 0.096
0.333 0.096 0.448
0.500 0.000 0.000
```

Properties
SG ... P-3, No. 147
Formation energy from the elements ... 0.072 eV/atom

---

Density functional theory data (PBE) for an optimized crystal structure of HoTeBrO4.

The structure in POSCAR format:
```
HoTeBrO4
1.0
-1.937 -6.000 -1.229
-1.782 -3.079 5.349
-6.988 0.497 -0.056
O Br Te Ho
8 2 2 2
Direct
0.706 0.706 0.463
0.517 0.890 0.856
0.544 0.544 0.197
0.483 0.110 0.144
0.110 0.483 0.144
0.456 0.456 0.803
0.294 0.294 0.537
0.890 0.517 0.856
0.993 0.993 0.757
0.007 0.007 0.243
0.365 0.365 0.268
0.635 0.635 0.732
0.770 0.770 0.120
0.230 0.230 0.880
```

Properties
E_form (uncorrected) ... -1680 meV per atom
SG ... C2/m, No. 12

---

Density functional theory data (PBE) for an optimized crystal structure of Zn2PRu.

The structure in POSCAR format:
```
Zn2PRu
1.0
3.406 0.000 0.000
0.000 3.406 0.000
0.000 0.000 4.845
Zn Ru P
2 1 1
Direct
0.000 0.000 0.749
0.000 0.000 0.251
0.500 0.500 0.500
0.500 0.500 0.000
```

Properties
SG ... P4/mmm, No. 123
Formation energy from the elements ... -0.014 eV/atom

---

Density functional theory data (PBE) for an optimized crystal structure of Ac5Pr2SmY.

The structure in POSCAR format:
```
Ac5Pr2SmY
1.0
5.873 0.000 0.000
-2.937 11.371 0.000
0.000 0.000 11.115
Ac Sm Y Pr
10 2 2 4
Direct
0.282 0.563 0.695
0.281 0.562 0.323
0.003 0.006 0.008
0.500 0.000 0.258
0.719 0.438 0.823
0.500 0.000 0.758
0.997 0.994 0.508
0.631 0.261 0.508
0.369 0.739 0.008
0.718 0.437 0.195
0.196 0.392 0.009
0.804 0.608 0.509
0.599 0.198 0.008
0.401 0.802 0.508
0.886 0.772 0.249
0.114 0.228 0.749
0.113 0.227 0.267
0.887 0.773 0.767
```

Properties
SG ... Cmc2_1, No. 36
Formation energy from the elements ... 0.128 eV/atom

---

Density functional theory data (PBE) for an optimized crystal structure of SrLiRhO3.

The structure in POSCAR format:
```
SrLiRhO3
1.0
-0.720 3.766 3.787
1.690 -3.581 3.882
4.013 3.376 -2.594
Li Rh O Sr
2 2 6 2
Direct
0.250 0.083 0.166
0.750 0.917 0.834
0.750 0.515 0.030
0.250 0.485 0.970
0.250 0.267 0.533
0.750 0.733 0.467
0.000 0.771 0.000
0.000 0.229 0.000
0.500 0.229 0.000
0.500 0.771 0.000
0.750 0.203 0.406
0.250 0.797 0.594
```

Properties
E_form (uncorrected) ... -1496 meV per atom
SG ... Cmcm, No. 63

---

Density functional theory data (PBE) for an optimized crystal structure of LiNd2GaO5.

The structure in POSCAR format:
```
LiNd2GaO5
1.0
5.777 0.000 0.000
0.000 6.719 0.000
0.000 0.000 6.719
O Nd Li Ga
10 4 2 2
Direct
0.500 0.000 0.000
0.238 0.636 0.864
0.238 0.136 0.636
0.762 0.864 0.364
0.238 0.364 0.136
0.500 0.500 0.500
0.762 0.136 0.636
0.762 0.636 0.864
0.238 0.864 0.364
0.762 0.364 0.136
0.500 0.178 0.322
0.500 0.822 0.678
0.500 0.678 0.178
0.500 0.322 0.822
0.000 0.500 0.500
0.000 0.000 0.000
0.000 0.500 0.000
0.000 0.000 0.500
```

Properties
E_form (uncorrected) ... -2439 meV per atom
SG ... P4/mbm, No. 127

---

Density functional theory data (PBE) for an optimized crystal structure of RuNO3.

The structure in POSCAR format:
```
RuNO3
1.0
3.769 0.000 0.000
0.000 3.769 0.000
0.000 0.000 3.769
O N Ru
3 1 1
Direct
0.000 0.000 0.500
0.500 0.000 0.000
0.000 0.500 0.000
0.500 0.500 0.500
0.000 0.000 0.000
```

Properties
E_form (uncorrected) ... 619 meV per atom
SG ... Pm-3m, No. 221

---

Density functional theory data (PBE) for an optimized crystal structure of TbNdAg4.

The structure in POSCAR format:
```
TbNdAg4
1.0
5.756 0.000 0.000
2.878 4.985 0.000
2.878 1.662 4.700
Ag Nd Tb
4 1 1
Direct
0.625 0.625 0.126
0.625 0.625 0.625
0.126 0.625 0.625
0.625 0.126 0.625
0.000 0.000 0.000
0.250 0.250 0.250
```

Properties
SG ... F-43m, No. 216
Formation energy from the elements ... -0.160 eV/atom

---

| no. | V (Å³ per cell) | total magnetic moment (μB/f.u.) | Fermi-level density of states (states/eV per atom) |
| --- | --- | --- | --- |
| 1 | 264.35 | 1.03 | 0.85 |
| 2 | 72.25 | 5.00 | 0.28 |
| 3 | 220.82 | 0.00 | 0.59 |
| 4 | 182.32 | 0.00 | 0.66 |
| 5 | 90.35 | 0.00 | 0.63 |
| 6 | 197.76 | 0.00 | 0.39 |
| 7 | 647.99 | 0.00 | 1.36 |
| 8 | 372.45 | 0.00 | 1.44 |
| 9 | 265.29 | 0.00 | 0.75 |
| 10 | 267.14 | 0.00 | 0.15 |
| 11 | 266.90 | 0.00 | 0.90 |
| 12 | 125.25 | 0.60 | 1.00 |
| 13 | 81.45 | 0.31 | 0.82 |
| 14 | 283.06 | 0.00 | 0.53 |
| 15 | 493.58 | 0.00 | 1.44 |
| 16 | 257.25 | 0.00 | 0.03 |
| 17 | 56.20 | 0.00 | 0.51 |
| 18 | 742.28 | 0.00 | 1.40 |
| 19 | 153.97 | 1.46 | 0.38 |
| 20 | 260.82 | 0.00 | 0.00 |
| 21 | 53.52 | 2.69 | 0.44 |
| 22 | 134.84 | 0.00 | 0.76 |